The following is a DFT calculation (PBE) of a geometry-optimized SrCaBP2 structure.

```
5
Lattice="5.390 0.000 0.000 0.000 6.250 0.000 0.000 0.000 5.390" Properties=species:S:1:pos:R:3 pbc="T T T"
Sr 0.000 0.000 0.000
Ca 0.000 3.125 0.000
B 2.695 3.125 2.695
P 0.000 0.000 2.695
P 2.695 0.000 0.000
```

Computed properties:
V (Å³/cell): 181.6
DFT formation energy (eV/atom): 1.727